No. 1
This record from Alexandria describes a geometry-optimized CaYFe3 structure. The functional is GGA-PBE. Values from VASP.

```
&SYSTEM
  ibrav = 0, nat = 5, ntyp = 3
/
ATOMIC_SPECIES
Y 88.91 Y.upf
Ca 40.08 Ca.upf
Fe 55.84 Fe.upf
ATOMIC_POSITIONS crystal
Y 0.000 0.000 0.000
Ca 0.500 0.500 0.500
Fe 0.000 0.500 0.000
Fe 0.000 0.000 0.500
Fe 0.500 0.000 0.000
CELL_PARAMETERS angstrom
-1.308 3.471 3.249
-3.414 1.660 -3.147
-3.309 -3.084 1.962
```

Computed properties:
N(E_F) (states/eV/f.u.): 6.54
VASP energy (eV/atom): -5.51
Energy relative to the elements (eV/atom): 1.257
Size of the total moment (μB per atom): 1.465
Relative energy among the computed polymorphs (eV/atom): 0.000

No. 2
This record from Alexandria describes a geometry-optimized BeP2Rh structure. The functional is GGA-PBE. Values from VASP.

```
&SYSTEM
  ibrav = 0, nat = 4, ntyp = 3
/
ATOMIC_SPECIES
P 30.97 P.upf
Rh 102.91 Rh.upf
Be 9.01 Be.upf
ATOMIC_POSITIONS crystal
P 0.006 0.006 0.006
P 0.494 0.494 0.494
Rh 0.250 0.250 0.250
Be 0.750 0.750 0.750
CELL_PARAMETERS angstrom
-0.667 -0.920 -6.879
2.013 -2.057 -6.351
-0.406 -3.698 -5.897
```

Computed properties:
N(E_F) (states/eV/f.u.): 1.36
VASP energy (eV/atom): -5.53
Energy relative to the elements (eV/atom): -0.060
Size of the total moment (μB per atom): 0.000

No. 3
This record from Alexandria describes a geometry-optimized SrTa2Mo structure. The functional is GGA-PBE. Values from VASP.

```
&SYSTEM
  ibrav = 0, nat = 4, ntyp = 3
/
ATOMIC_SPECIES
Mo 95.94 Mo.upf
Sr 87.62 Sr.upf
Ta 180.95 Ta.upf
ATOMIC_POSITIONS crystal
Mo 0.000 0.549 0.417
Sr 0.500 0.702 0.740
Ta 0.000 0.953 0.085
Ta 0.500 0.296 0.258
CELL_PARAMETERS angstrom
-0.790 -1.616 4.004
0.676 -2.832 -1.010
7.003 -0.296 1.262
```

Computed properties:
N(E_F) (states/eV/f.u.): 4.29
VASP energy (eV/atom): -8.45
Energy relative to the elements (eV/atom): 0.608
Size of the total moment (μB per atom): 0.000
Relative energy among the computed polymorphs (eV/atom): 0.101

No. 4
This record from Alexandria describes a geometry-optimized ZnCuBr4 structure. The functional is GGA-PBE. Values from VASP.

```
&SYSTEM
  ibrav = 0, nat = 6, ntyp = 3
/
ATOMIC_SPECIES
Zn 65.41 Zn.upf
Cu 63.55 Cu.upf
Br 79.90 Br.upf
ATOMIC_POSITIONS crystal
Zn 0.000 0.000 0.000
Cu 0.750 0.750 0.750
Br 0.876 0.375 0.375
Br 0.375 0.375 0.876
Br 0.375 0.876 0.375
Br 0.375 0.375 0.375
CELL_PARAMETERS angstrom
-4.661 3.519 2.343
-0.225 6.163 -1.253
-4.453 2.273 -3.821
```

Computed properties:
E_form (uncorrected) (eV per atom): 0.814
N(E_F) (states/eV/f.u.): 7.93
VASP energy (eV/atom): -1.20
Size of the total moment (μB per atom): 0.174

- The highest VASP energy belongs to which entry?
  ZnCuBr4